No. 1
# Tb3Ga4Rh2 PBE optimized geometry
# Energy relative to the elements: -778 meV/atom
# M_tot: 0.00 μB/f.u.
# E above lowest polymorph: 0.0 kJ per mole of atoms
data_Tb3Ga4Rh2
_chemical_formula_sum 'Tb6 Ga8 Rh4'
_cell_length_a 10.8065
_cell_length_b 4.3068
_cell_length_c 8.5227
_cell_angle_alpha 90.00
_cell_angle_beta 113.63
_cell_angle_gamma 90.00
_space_group_name_H-M_alt 'C 1 2/m 1'
_space_group_IT_number 12
loop_
_space_group_symop_operation_xyz
'x,y,z'
'-x,-y,-z'
'-x,y,-z'
'x,-y,z'
'x+1/2,y+1/2,z'
'-x+1/2,-y+1/2,-z'
'-x+1/2,y+1/2,-z'
'x+1/2,-y+1/2,z'
loop_
_atom_site_label
_atom_site_type_symbol
_atom_site_fract_x
_atom_site_fract_y
_atom_site_fract_z
_atom_site_occupancy
Tb1 Tb 0.0000 0.0000 0.0000 1
Tb2 Tb 0.1861 0.5000 0.6378 1
Ga1 Ga 0.0205 0.0000 0.3591 1
Ga2 Ga 0.2303 0.5000 0.0720 1
Rh1 Rh 0.0982 0.5000 0.2653 1

No. 2
# ZrSn2Br PBE optimized geometry
# Uncorrected formation energy: 69 meV per atom
# M_tot: 0.00 μB/f.u.
# E above lowest polymorph: 0.0 kJ per mole of atoms
data_ZrSn2Br
_chemical_formula_sum 'Zr4 Sn8 Br4'
_cell_length_a 4.2403
_cell_length_b 4.2403
_cell_length_c 22.8849
_cell_angle_alpha 90.00
_cell_angle_beta 90.00
_cell_angle_gamma 90.00
_space_group_name_H-M_alt 'I -4 2 d'
_space_group_IT_number 122
_space_group_name_Hall 'I -4 2bw'
loop_
_atom_site_label
_atom_site_type_symbol
_atom_site_fract_x
_atom_site_fract_y
_atom_site_fract_z
_atom_site_occupancy
Zr1 Zr 0.0000 0.0000 0.0000 1
Sn1 Sn 0.2371 0.2500 0.1250 1
Br1 Br 0.0000 0.0000 0.5000 1

No. 3
# KTc2IrO8 PBE optimized geometry
# Uncorrected formation energy: -1270 meV per atom
# M_tot: 0.44 μB/f.u.
data_KTc2IrO8
_chemical_formula_sum 'K2 Tc4 Ir2 O16'
_cell_length_a 8.7572
_cell_length_b 5.8522
_cell_length_c 7.9277
_cell_angle_alpha 90.00
_cell_angle_beta 95.42
_cell_angle_gamma 90.00
_space_group_name_H-M_alt 'C 1 2/m 1'
_space_group_IT_number 12
loop_
_space_group_symop_operation_xyz
'x,y,z'
'-x,-y,-z'
'-x,y,-z'
'x,-y,z'
'x+1/2,y+1/2,z'
'-x+1/2,-y+1/2,-z'
'-x+1/2,y+1/2,-z'
'x+1/2,-y+1/2,z'
loop_
_atom_site_label
_atom_site_type_symbol
_atom_site_fract_x
_atom_site_fract_y
_atom_site_fract_z
_atom_site_occupancy
K1 K 0.0000 0.0000 0.0000 1
Tc1 Tc 0.1208 0.5000 0.2886 1
Ir1 Ir 0.0000 0.0000 0.5000 1
O1 O 0.0088 0.2428 0.3148 1
O2 O 0.1923 0.5000 0.0908 1
O3 O 0.2254 0.0000 0.5415 1

No. 4
# TbErGaCu PBE optimized geometry
# Energy relative to the elements: -419 meV/atom
# M_tot: 0.00 μB/f.u.
data_TbErGaCu
_chemical_formula_sum 'Tb4 Er4 Ga4 Cu4'
_cell_length_a 7.0560
_cell_length_b 7.0560
_cell_length_c 7.0560
_cell_angle_alpha 90.00
_cell_angle_beta 90.00
_cell_angle_gamma 90.00
_space_group_name_H-M_alt 'F -4 3 m'
_space_group_IT_number 216
_space_group_name_Hall 'F -4 2 3'
loop_
_atom_site_label
_atom_site_type_symbol
_atom_site_fract_x
_atom_site_fract_y
_atom_site_fract_z
_atom_site_occupancy
Tb1 Tb 0.0000 0.0000 0.0000 1
Er1 Er 0.0000 0.0000 0.5000 1
Ga1 Ga 0.2500 0.2500 0.7500 1
Cu1 Cu 0.2500 0.2500 0.2500 1

No. 5
# ScCd12Hg7 PBE optimized geometry
# Energy relative to the elements: -12 meV/atom
# M_tot: 0.00 μB/f.u.
data_ScCd12Hg7
_chemical_formula_sum 'Sc3 Cd36 Hg21'
_cell_length_a 12.6212
_cell_length_b 12.6212
_cell_length_c 10.2248
_cell_angle_alpha 90.00
_cell_angle_beta 90.00
_cell_angle_gamma 120.00
_space_group_name_H-M_alt 'R -3'
_space_group_IT_number 148
_space_group_name_Hall '-R 3'
loop_
_atom_site_label
_atom_site_type_symbol
_atom_site_fract_x
_atom_site_fract_y
_atom_site_fract_z
_atom_site_occupancy
Sc1 Sc 0.0000 0.0000 0.0000 1
Cd1 Cd 0.0082 0.7463 0.0169 1
Cd2 Cd 0.0571 0.5497 0.1259 1
Hg1 Hg 0.0000 0.0000 0.5000 1
Hg2 Hg 0.0662 0.8955 0.7622 1

No. 6
# BiRu3W PBE optimized geometry
# Energy relative to the elements: 2569 meV/atom
# M_tot: 1.01 μB/f.u.
# E above lowest polymorph: 120.4 kJ per mole of atoms
data_BiRu3W
_chemical_formula_sum 'Bi1 Ru3 W1'
_cell_length_a 4.8419
_cell_length_b 4.8419
_cell_length_c 4.8419
_cell_angle_alpha 90.00
_cell_angle_beta 90.00
_cell_angle_gamma 90.00
_space_group_name_H-M_alt 'P m -3 m'
_space_group_IT_number 221
_space_group_name_Hall '-P 4 2 3'
loop_
_atom_site_label
_atom_site_type_symbol
_atom_site_fract_x
_atom_site_fract_y
_atom_site_fract_z
_atom_site_occupancy
Bi1 Bi 0.0000 0.0000 0.0000 1
Ru1 Ru 0.0000 0.0000 0.5000 1
W1 W 0.5000 0.5000 0.5000 1

No. 7
# GdTh2Bi PBE optimized geometry
# Energy relative to the elements: 133 meV/atom
# M_tot: 7.13 μB/f.u.
# E above lowest polymorph: 42.0 kJ per mole of atoms
data_GdTh2Bi
_chemical_formula_sum 'Gd3 Th6 Bi3'
_cell_length_a 3.5087
_cell_length_b 3.5087
_cell_length_c 37.7755
_cell_angle_alpha 90.00
_cell_angle_beta 90.00
_cell_angle_gamma 120.00
_space_group_name_H-M_alt 'R -3 m'
_space_group_IT_number 166
_space_group_name_Hall '-R 3 2"'
loop_
_atom_site_label
_atom_site_type_symbol
_atom_site_fract_x
_atom_site_fract_y
_atom_site_fract_z
_atom_site_occupancy
Gd1 Gd 0.0000 0.0000 0.0000 1
Th1 Th 0.0000 0.0000 0.4126 1
Bi1 Bi 0.0000 0.0000 0.5000 1

No. 8
# CaPrGaSi PBE optimized geometry
# Uncorrected formation energy: -402 meV per atom
# M_tot: 0.00 μB/f.u.
# E above lowest polymorph: 19.8 kJ per mole of atoms
data_CaPrGaSi
_chemical_formula_sum 'Ca4 Pr4 Ga4 Si4'
_cell_length_a 7.3183
_cell_length_b 7.3183
_cell_length_c 7.3183
_cell_angle_alpha 90.00
_cell_angle_beta 90.00
_cell_angle_gamma 90.00
_space_group_name_H-M_alt 'F -4 3 m'
_space_group_IT_number 216
_space_group_name_Hall 'F -4 2 3'
loop_
_atom_site_label
_atom_site_type_symbol
_atom_site_fract_x
_atom_site_fract_y
_atom_site_fract_z
_atom_site_occupancy
Ca1 Ca 0.0000 0.0000 0.0000 1
Pr1 Pr 0.0000 0.0000 0.5000 1
Ga1 Ga 0.2500 0.2500 0.7500 1
Si1 Si 0.2500 0.2500 0.2500 1

No. 9
# Re2NiW PBE optimized geometry
# Energy relative to the elements: 905 meV/atom
# M_tot: 0.00 μB/f.u.
# E above lowest polymorph: 86.2 kJ per mole of atoms
data_Re2NiW
_chemical_formula_sum 'Re8 Ni4 W4'
_cell_length_a 6.9306
_cell_length_b 6.9306
_cell_length_c 5.2408
_cell_angle_alpha 90.00
_cell_angle_beta 90.00
_cell_angle_gamma 90.00
_space_group_name_H-M_alt 'I -4 2 d'
_space_group_IT_number 122
_space_group_name_Hall 'I -4 2bw'
loop_
_atom_site_label
_atom_site_type_symbol
_atom_site_fract_x
_atom_site_fract_y
_atom_site_fract_z
_atom_site_occupancy
Re1 Re 0.2457 0.7500 0.1250 1
Ni1 Ni 0.0000 0.0000 0.0000 1
W1 W 0.0000 0.0000 0.5000 1

No. 10
# Nd2TiCu PBE optimized geometry
# Energy relative to the elements: 112 meV/atom
# M_tot: 0.00 μB/f.u.
# E above lowest polymorph: 0.0 kJ per mole of atoms
data_Nd2TiCu
_chemical_formula_sum 'Nd2 Ti1 Cu1'
_cell_length_a 3.4897
_cell_length_b 3.4897
_cell_length_c 8.0376
_cell_angle_alpha 90.00
_cell_angle_beta 90.00
_cell_angle_gamma 90.00
_space_group_name_H-M_alt 'P 4/m m m'
_space_group_IT_number 123
_space_group_name_Hall '-P 4 2'
loop_
_atom_site_label
_atom_site_type_symbol
_atom_site_fract_x
_atom_site_fract_y
_atom_site_fract_z
_atom_site_occupancy
Nd1 Nd 0.0000 0.0000 0.2327 1
Ti1 Ti 0.5000 0.5000 0.5000 1
Cu1 Cu 0.5000 0.5000 0.0000 1

No. 11
# PuClO3 PBE optimized geometry
# Uncorrected formation energy: -1858 meV per atom
# M_tot: 1.00 μB/f.u.
data_PuClO3
_chemical_formula_sum 'Pu4 Cl4 O12'
_cell_length_a 5.6715
_cell_length_b 8.9383
_cell_length_c 9.9078
_cell_angle_alpha 96.98
_cell_angle_beta 104.59
_cell_angle_gamma 106.78
_space_group_name_H-M_alt 'P -1'
_space_group_IT_number 2
loop_
_space_group_symop_operation_xyz
'x,y,z'
'-x,-y,-z'
loop_
_atom_site_label
_atom_site_type_symbol
_atom_site_fract_x
_atom_site_fract_y
_atom_site_fract_z
_atom_site_occupancy
Pu1 Pu 0.2443 0.2407 0.2550 1
Pu2 Pu 0.2517 0.5691 0.9323 1
Cl1 Cl 0.0650 0.1965 0.4593 1
Cl2 Cl 0.4217 0.0215 0.3127 1
O1 O 0.0004 0.4158 0.2291 1
O2 O 0.0167 0.3720 0.9436 1
O3 O 0.0321 0.9019 0.8703 1
O4 O 0.4794 0.6085 0.6278 1
O5 O 0.4826 0.5724 0.1114 1
O6 O 0.4924 0.2547 0.0941 1